Entry 1:
Below is an optimized crystal structure of LiSnPd2, with properties calculated at the PBE level.

Output
E   -0.33546 Ry per atom

Unit cell a=3.3445 b=3.3445 c=5.8445 alpha=90.00 beta=90.00 gamma=90.00
With the nearest neighbours (Å) after each atom.
Sites, in units of the cell vectors:
Pd (0.5000, 0.5000, 0.7454)  4 Li 2.77, 4 Sn 2.79, 2 Pd 2.87-2.98
Pd (0.5000, 0.5000, 0.2546)  4 Li 2.77, 4 Sn 2.79, 2 Pd 2.87-2.98
Sn (0.0000, 0.0000, 0.0000)  8 Pd 2.79, 2 Li 2.92
Li (0.0000, 0.0000, 0.5000)  8 Pd 2.77, 2 Sn 2.92

---

Entry 2:
Below is an optimized crystal structure of LiSnPd, with properties calculated at the PBE level.

Output
E   -0.30539 Ry per atom

Unit cell a=4.3925 b=4.3925 c=4.3925 alpha=60.00 beta=60.00 gamma=60.00
With the nearest neighbours (Å) after each atom.
Sites, in units of the cell vectors:
Li (0.2500, 0.2500, 0.2500)  4 Pd 2.69
Sn (0.7500, 0.7500, 0.7500)  4 Pd 2.69
Pd (0.0000, 0.0000, 0.0000)  4 Li 2.69, 4 Sn 2.69